Here is crystalline Tl4NiW at its relaxed geometry from Alexandria via LeMat-Bulk. Energies are from PBE.

Geometry as CIF:
```
data_Tl4NiW
_space_group_name_H-M_alt 'F -4 3 m'
_space_group_IT_number 216
_space_group_name_Hall 'F -4 2 3'
_cell_length_a 8.6164
_cell_length_b 8.6164
_cell_length_c 8.6164
_cell_angle_alpha 90.00
_cell_angle_beta 90.00
_cell_angle_gamma 90.00
loop_
_atom_site_label
_atom_site_fract_x
_atom_site_fract_y
_atom_site_fract_z
Tl1 0.1252 0.1252 0.1252
Ni1 0.0000 0.0000 0.5000
W1 0.2500 0.2500 0.7500
```

As for the formation energy: 1.44 eV per atom. The size of the total moment comes out at 17.14 Bohr magnetons per cell.